Arrangement A

## SiSbMo (SCAN)

Data for SiSbMo at its PBEsol-relaxed geometry.

Results
Size of the total moment in μB/cell: 0.000
Symmetry: P-6m2, No. 187

abc: 3.4114 4.2645 4.2645
angles: 120.00 90.00 90.00
Fractional coordinates of all 3 atoms:
1 Sb 0.0000 0.3333 0.6667
2 Mo 0.5000 0.0000 0.0000
3 Si 0.5000 0.6667 0.3333



Arrangement B

## SiSbMo (SCAN)

Data for SiSbMo at its PBEsol-relaxed geometry.

Results
Size of the total moment in μB/cell: 0.000
Symmetry: I4mm, No. 107

abc: 3.3428 3.3428 5.0727
angles: 109.24 109.24 90.00
Fractional coordinates of all 3 atoms:
1 Sb 0.6654 0.6654 0.3308
2 Mo 0.9784 0.9784 0.9567
3 Si 0.3562 0.3562 0.7124



Arrangement C

## SiSbMo (SCAN)

Data for SiSbMo at its PBEsol-relaxed geometry.

Results
Size of the total moment in μB/cell: 0.000
Symmetry: F-43m, No. 216

abc: 4.3083 4.3083 4.3083
angles: 60.00 60.00 60.00
Fractional coordinates of all 3 atoms:
1 Sb 0.5000 0.5000 0.5000
2 Mo 0.0000 0.0000 0.0000
3 Si 0.2500 0.2500 0.2500



Arrangement D

## SiSbMo (SCAN)

Data for SiSbMo at its PBEsol-relaxed geometry.

Results
Size of the total moment in μB/cell: 1.474
Symmetry: F-43m, No. 216

abc: 4.3911 4.3911 4.3911
angles: 60.00 60.00 60.00
Site moments in Bohr magnetons follow the coordinates.
Fractional coordinates of all 3 atoms:
1 Sb 0.0000 0.0000 0.0000  0.00
2 Mo 0.2500 0.2500 0.2500  1.39
3 Si 0.5000 0.5000 0.5000  -0.05



Most stable to least stable: arrangement B, arrangement A, arrangement D, arrangement C



Arrangement A

## SrSb2Mo (SCAN)

Data for SrSb2Mo at its PBEsol-relaxed geometry.

Results
Size of the total moment in μB/cell: 0.004
Symmetry: C2/m, No. 12

abc: 3.8108 4.6352 6.5623
angles: 104.12 90.00 114.27
Fractional coordinates of all 4 atoms:
1 Mo 0.5000 0.0000 0.0000
2 Sb 0.7683 0.5366 0.8218
3 Sb 0.2317 0.4634 0.1782
4 Sr 0.0000 0.0000 0.5000



Arrangement B

## SrSb2Mo (SCAN)

Data for SrSb2Mo at its PBEsol-relaxed geometry.

Results
Size of the total moment in μB/cell: 2.180
Symmetry: F-43m, No. 216

abc: 5.1269 5.1269 5.1269
angles: 60.00 60.00 60.00
Site moments in Bohr magnetons follow the coordinates.
Fractional coordinates of all 4 atoms:
1 Mo 0.5000 0.5000 0.5000  2.27
2 Sb 0.0000 0.0000 0.0000  -0.14
3 Sb 0.7500 0.7500 0.7500  -0.11
4 Sr 0.2500 0.2500 0.2500  0.07



Most stable to least stable: arrangement A, arrangement B



Arrangement A

## TcSb2Mo (SCAN)

Data for TcSb2Mo at its PBEsol-relaxed geometry.

Results
Size of the total moment in μB/cell: 0.000
Symmetry: Pmmm, No. 47

abc: 3.2964 4.2131 5.3066
angles: 90.00 90.00 90.00
Fractional coordinates of all 4 atoms:
1 Mo 0.0000 0.5000 0.5000
2 Sb 0.0000 0.0000 0.0000
3 Sb 0.5000 0.0000 0.5000
4 Tc 0.5000 0.5000 0.0000



Arrangement B

## TcSb2Mo (SCAN)

Data for TcSb2Mo at its PBEsol-relaxed geometry.

Results
Size of the total moment in μB/cell: 0.000
Symmetry: R3m, No. 160

abc: 3.0543 3.0543 10.4364
angles: 81.59 81.59 60.00
Fractional coordinates of all 4 atoms:
1 Mo 0.2390 0.2390 0.2831
2 Sb 0.9792 0.9792 0.0625
3 Sb 0.7720 0.7720 0.6839
4 Tc 0.5098 0.5098 0.4706



Arrangement C

## TcSb2Mo (SCAN)

Data for TcSb2Mo at its PBEsol-relaxed geometry.

Results
Size of the total moment in μB/cell: 0.001
Symmetry: C2/m, No. 12

abc: 3.1377 4.5223 5.5071
angles: 101.44 90.00 110.30
Fractional coordinates of all 4 atoms:
1 Mo 0.0000 0.0000 0.5000
2 Sb 0.7520 0.5041 0.7542
3 Sb 0.2480 0.4959 0.2458
4 Tc 0.5000 0.0000 0.0000



Most stable to least stable: arrangement B, arrangement C, arrangement A



Arrangement A

## TcSb2Mo (SCAN)

Data for TcSb2Mo at its PBEsol-relaxed geometry.

Results
Size of the total moment in μB/cell: 0.002
Symmetry: P4mm, No. 99

abc: 3.0927 3.0927 8.1060
angles: 90.00 90.00 90.00
Fractional coordinates of all 4 atoms:
1 Sb 0.0000 0.0000 0.9489
2 Sb 0.5000 0.5000 0.3096
3 Mo 0.5000 0.5000 0.7140
4 Tc 0.0000 0.0000 0.5275



Arrangement B

## TcSb2Mo (SCAN)

Data for TcSb2Mo at its PBEsol-relaxed geometry.

Results
Size of the total moment in μB/cell: 0.000
Symmetry: Cm, No. 8

abc: 3.2535 4.7967 5.0147
angles: 106.63 108.93 90.00
Fractional coordinates of all 4 atoms:
1 Mo 0.7550 0.1913 0.5099
2 Sb 0.0094 0.0569 0.0188
3 Sb 0.2391 0.6913 0.4783
4 Tc 0.4965 0.5605 0.9930



Most stable to least stable: arrangement A, arrangement B



Arrangement A

## YSb2Mo (SCAN)

Data for YSb2Mo at its PBEsol-relaxed geometry.

Results
Size of the total moment in μB/cell: 3.161
Symmetry: I-42d, No. 122

abc: 4.3841 4.3841 10.4376
angles: 102.12 102.12 90.00
Site moments in Bohr magnetons follow the coordinates.
Fractional coordinates of all 8 atoms:
1 Y 0.7500 0.2500 0.5000  -0.05
2 Y 0.5000 0.5000 0.0000  -0.05
3 Sb 0.3457 0.8750 0.2500  -0.02
4 Sb 0.9043 0.3750 0.2500  -0.02
5 Sb 0.1250 0.0957 0.7500  -0.02
6 Sb 0.6250 0.6543 0.7500  -0.02
7 Mo 0.2500 0.7500 0.5000  1.49
8 Mo 0.0000 0.0000 0.0000  1.49



Arrangement B

## YSb2Mo (SCAN)

Data for YSb2Mo at its PBEsol-relaxed geometry.

Results
Size of the total moment in μB/cell: 0.380
Symmetry: R3m, No. 160

abc: 3.4247 3.4247 9.4504
angles: 79.56 79.56 60.00
Site moments in Bohr magnetons follow the coordinates.
Fractional coordinates of all 4 atoms:
1 Mo 0.2546 0.2546 0.2361  0.29
2 Sb 0.9870 0.9870 0.0391  0.00
3 Sb 0.7501 0.7501 0.7498  0.00
4 Y 0.5083 0.5083 0.4750  0.06



Most stable to least stable: arrangement B, arrangement A



Arrangement A

## YSbMo (SCAN)

Data for YSbMo at its PBEsol-relaxed geometry.

Results
Size of the total moment in μB/cell: 1.085
Symmetry: P-6m2, No. 187

abc: 3.6282 4.6077 4.6077
angles: 120.00 90.00 90.00
Site moments in Bohr magnetons follow the coordinates.
Fractional coordinates of all 3 atoms:
1 Mo 0.0000 0.0000 0.0000  0.93
2 Sb 0.0000 0.3333 0.6667  -0.03
3 Y 0.5000 0.6667 0.3333  0.09



Arrangement B

## YSbMo (SCAN)

Data for YSbMo at its PBEsol-relaxed geometry.

Results
Size of the total moment in μB/cell: 0.000
Symmetry: F-43m, No. 216

abc: 4.6400 4.6400 4.6400
angles: 60.00 60.00 60.00
Fractional coordinates of all 3 atoms:
1 Mo 0.2500 0.2500 0.2500
2 Sb 0.0000 0.0000 0.0000
3 Y 0.5000 0.5000 0.5000



Most stable to least stable: arrangement A, arrangement B



Arrangement A

## ZrSb2Mo (SCAN)

Data for ZrSb2Mo at its PBEsol-relaxed geometry.

Results
Size of the total moment in μB/cell: 0.000
Symmetry: Immm, No. 71

abc: 3.5936 5.2030 5.3949
angles: 118.83 109.45 90.00
Fractional coordinates of all 4 atoms:
1 Mo 0.0000 0.5000 0.0000
2 Sb 0.7351 0.7351 0.4702
3 Sb 0.2649 0.2649 0.5298
4 Zr 0.5000 0.0000 0.0000



Arrangement B

## ZrSb2Mo (SCAN)

Data for ZrSb2Mo at its PBEsol-relaxed geometry.

Results
Size of the total moment in μB/cell: 0.000
Symmetry: F-43m, No. 216

abc: 4.8615 4.8615 4.8615
angles: 60.00 60.00 60.00
Fractional coordinates of all 4 atoms:
1 Mo 0.5000 0.5000 0.5000
2 Sb 0.0000 0.0000 0.0000
3 Sb 0.7500 0.7500 0.7500
4 Zr 0.2500 0.2500 0.2500



Arrangement C

## ZrSb2Mo (SCAN)

Data for ZrSb2Mo at its PBEsol-relaxed geometry.

Results
Size of the total moment in μB/cell: 0.000
Symmetry: R3m, No. 160

abc: 3.3589 3.3589 9.0918
angles: 79.36 79.36 60.00
Fractional coordinates of all 4 atoms:
1 Mo 0.2498 0.2498 0.2506
2 Sb 0.9881 0.9881 0.0357
3 Sb 0.7544 0.7544 0.7369
4 Zr 0.5077 0.5077 0.4768



Most stable to least stable: arrangement C, arrangement A, arrangement B



Arrangement A

## Sc3Mo (SCAN)

Data for Sc3Mo at its PBEsol-relaxed geometry.

Results
Size of the total moment in μB/cell: 0.000
Symmetry: Pmmn, No. 59

abc: 4.8059 5.3629 6.1883
angles: 90.00 90.00 90.00
Fractional coordinates of all 8 atoms:
1 Mo 0.0000 0.6915 0.0000
2 Mo 0.5000 0.3085 0.5000
3 Sc 0.5000 0.3462 0.0000
4 Sc 0.0000 0.1733 0.7470
5 Sc 0.5000 0.8267 0.7530
6 Sc 0.0000 0.6538 0.5000
7 Sc 0.0000 0.1733 0.2530
8 Sc 0.5000 0.8267 0.2470



Arrangement B

## Sc3Mo (SCAN)

Data for Sc3Mo at its PBEsol-relaxed geometry.

Results
Size of the total moment in μB/cell: 0.001
Symmetry: P6_3/mmc, No. 194

abc: 4.8710 6.1436 6.1436
angles: 120.00 90.00 90.00
Fractional coordinates of all 8 atoms:
1 Mo 0.7500 0.6667 0.3333
2 Mo 0.2500 0.3333 0.6667
3 Sc 0.7500 0.1701 0.3403
4 Sc 0.2500 0.8299 0.6597
5 Sc 0.7500 0.1701 0.8299
6 Sc 0.2500 0.8299 0.1701
7 Sc 0.7500 0.6597 0.8299
8 Sc 0.2500 0.3403 0.1701



Most stable to least stable: arrangement A, arrangement B



Arrangement A

## Sc2MoSe (SCAN)

Data for Sc2MoSe at its PBEsol-relaxed geometry.

Results
Size of the total moment in μB/cell: 0.001
Symmetry: P4mm, No. 99

abc: 3.6221 3.6221 5.7335
angles: 90.00 90.00 90.00
Fractional coordinates of all 4 atoms:
1 Mo 0.5000 0.5000 0.8020
2 Sc 0.0000 0.0000 0.9608
3 Sc 0.5000 0.5000 0.2805
4 Se 0.0000 0.0000 0.4568



Arrangement B

## Sc2MoSe (SCAN)

Data for Sc2MoSe at its PBEsol-relaxed geometry.

Results
Size of the total moment in μB/cell: 0.000
Symmetry: F-43m, No. 216

abc: 4.5793 4.5793 4.5793
angles: 60.00 60.00 60.00
Fractional coordinates of all 4 atoms:
1 Mo 0.5000 0.5000 0.5000
2 Sc 0.0000 0.0000 0.0000
3 Sc 0.7500 0.7500 0.7500
4 Se 0.2500 0.2500 0.2500



Most stable to least stable: arrangement A, arrangement B



Arrangement A

## Sc2TaMo (SCAN)

Data for Sc2TaMo at its PBEsol-relaxed geometry.

Results
Size of the total moment in μB/cell: 0.000
Symmetry: Imm2, No. 44

abc: 3.3617 4.8989 5.5336
angles: 116.27 107.68 90.00
Fractional coordinates of all 4 atoms:
1 Mo 0.2317 0.7317 0.4634
2 Sc 0.9775 0.9775 0.9550
3 Sc 0.7573 0.2573 0.5146
4 Ta 0.5335 0.5335 0.0671



Arrangement B

## Sc2TaMo (SCAN)

Data for Sc2TaMo at its PBEsol-relaxed geometry.

Results
Size of the total moment in μB/cell: 0.000
Symmetry: P4/mmm, No. 123

abc: 3.9338 3.9338 4.7757
angles: 90.00 90.00 90.00
Fractional coordinates of all 4 atoms:
1 Mo 0.0000 0.0000 0.5000
2 Sc 0.0000 0.5000 0.0000
3 Sc 0.5000 0.0000 0.0000
4 Ta 0.5000 0.5000 0.5000



Most stable to least stable: arrangement A, arrangement B



Arrangement A

## ScTcMo (SCAN)

Data for ScTcMo at its PBEsol-relaxed geometry.

Results
Size of the total moment in μB/cell: 0.000
Symmetry: I4mm, No. 107

abc: 3.1121 3.1121 5.4864
angles: 106.48 106.48 90.00
Fractional coordinates of all 3 atoms:
1 Sc 0.6693 0.6693 0.3386
2 Mo 0.9838 0.9838 0.9677
3 Tc 0.3468 0.3468 0.6937



Arrangement B

## ScTcMo (SCAN)

Data for ScTcMo at its PBEsol-relaxed geometry.

Results
Size of the total moment in μB/cell: 0.000
Symmetry: Imma, No. 74

abc: 5.2353 5.2353 5.2353
angles: 89.39 60.35 119.64
Fractional coordinates of all 6 atoms:
1 Sc 0.7500 0.6231 0.1269
2 Sc 0.2500 0.3769 0.8731
3 Mo 0.0000 0.0000 0.5000
4 Mo 0.5000 0.0000 0.0000
5 Tc 0.0000 0.5000 0.5000
6 Tc 0.5000 0.0000 0.5000



Most stable to least stable: arrangement B, arrangement A



Arrangement A

## YScMo (SCAN)

Data for YScMo at its PBEsol-relaxed geometry.

Results
Size of the total moment in μB/cell: 0.000
Symmetry: F-43m, No. 216

abc: 4.6565 4.6565 4.6565
angles: 60.00 60.00 60.00
Fractional coordinates of all 3 atoms:
1 Mo 0.2500 0.2500 0.2500
2 Sc 0.0000 0.0000 0.0000
3 Y 0.5000 0.5000 0.5000



Arrangement B

## YScMo (SCAN)

Data for YScMo at its PBEsol-relaxed geometry.

Results
Size of the total moment in μB/cell: 0.001
Symmetry: P3m1, No. 156

abc: 3.2827 3.2827 7.1438
angles: 90.00 90.00 120.00
Fractional coordinates of all 3 atoms:
1 Mo 0.0000 0.0000 0.9909
2 Sc 0.3333 0.6667 0.7152
3 Y 0.6667 0.3333 0.2940



Arrangement C

## YScMo (SCAN)

Data for YScMo at its PBEsol-relaxed geometry.

Results
Size of the total moment in μB/cell: 0.000
Symmetry: I4mm, No. 107

abc: 3.4232 3.4232 6.1283
angles: 106.22 106.22 90.00
Fractional coordinates of all 3 atoms:
1 Mo 0.9885 0.9885 0.9770
2 Sc 0.3656 0.3656 0.7312
3 Y 0.6459 0.6459 0.2918



Most stable to least stable: arrangement C, arrangement B, arrangement A



Arrangement A

## ZrScMo2 (SCAN)

Data for ZrScMo2 at its PBEsol-relaxed geometry.

Results
Size of the total moment in μB/cell: 0.000
Symmetry: P2/m, No. 10

abc: 2.8485 4.5356 5.5100
angles: 90.00 98.52 90.00
Fractional coordinates of all 4 atoms:
1 Mo 0.7689 0.0000 0.7511
2 Mo 0.2311 0.0000 0.2489
3 Sc 0.5000 0.5000 0.0000
4 Zr 0.0000 0.5000 0.5000



Arrangement B

## ZrScMo2 (SCAN)

Data for ZrScMo2 at its PBEsol-relaxed geometry.

Results
Size of the total moment in μB/cell: 0.000
Symmetry: P4/mmm, No. 123

abc: 3.8970 3.8970 4.7108
angles: 90.00 90.00 90.00
Fractional coordinates of all 4 atoms:
1 Mo 0.0000 0.5000 0.0000
2 Mo 0.5000 0.0000 0.0000
3 Sc 0.5000 0.5000 0.5000
4 Zr 0.0000 0.0000 0.5000



Most stable to least stable: arrangement A, arrangement B